The following is a PBE calculation of a relaxed CaAcLa2Sb4 crystal, from the Alexandria database.

The calculation puts the final energy at -5.16 eV/atom. For the uncorrected formation energy, the calculation gives -1.1053 eV/atom. For the spin magnetization, the calculation gives 0.000 μB per atom.

The space group is P2/m (No. 10) and the conventional cell measures 8.0413, 4.6776 and 8.0901 Å, with angles of 90.00, 109.55 and 90.00 degrees. The distinct sites, in fractional coordinates, are Ca at (0.0000, 0.0000, 0.0000), Ac at (0.5000, 0.5000, 0.0000), La at (0.0000, 0.5000, 0.5000), La at (0.5000, 0.0000, 0.5000), Sb at (0.2431, 0.0000, 0.7423) and Sb at (0.2472, 0.5000, 0.2544).